# Li2DyI5

A geometry-optimized Li2DyI5 structure (PBE, Alexandria).

Calculated values
The value obtained for the formation energy (no corrections) is -1.230 eV/atom. The total energy is -52.0 eV/cell.

CIF file:
```
data_Li2DyI5
_space_group_name_H-M_alt 'C 1 m 1'
_space_group_IT_number 8
_space_group_name_Hall 'C -2y'
_cell_length_a 13.1392
_cell_length_b 9.0825
_cell_length_c 7.5226
_cell_angle_alpha 90.00
_cell_angle_beta 120.23
_cell_angle_gamma 90.00
loop_
_atom_site_label
_atom_site_type_symbol
_atom_site_fract_x
_atom_site_fract_y
_atom_site_fract_z
Li1 Li 0.0000 0.2120 0.0000
Dy1 Dy 0.2669 0.5000 0.2139
I1 I 0.0199 0.0000 0.2934
I2 I 0.0225 0.5000 0.1645
I3 I 0.2059 0.2299 0.9734
I4 I 0.3638 0.5000 0.6685
```

# Nb2CrTe

A geometry-optimized Nb2CrTe structure (PBE, Alexandria).

Calculated values
The value obtained for the formation energy (no corrections) is 0.465 eV/atom. The total energy is -124.2 eV/cell.

CIF file:
```
data_Nb2CrTe
_space_group_name_H-M_alt 'I -4 2 d'
_space_group_IT_number 122
_space_group_name_Hall 'I -4 2bw'
_cell_length_a 3.9547
_cell_length_b 3.9547
_cell_length_c 20.2659
_cell_angle_alpha 90.00
_cell_angle_beta 90.00
_cell_angle_gamma 90.00
loop_
_atom_site_label
_atom_site_type_symbol
_atom_site_fract_x
_atom_site_fract_y
_atom_site_fract_z
Nb1 Nb 0.2491 0.2500 0.1250
Cr1 Cr 0.0000 0.0000 0.0000
Te1 Te 0.0000 0.0000 0.5000
```

# Tb7NdTm4

A geometry-optimized Tb7NdTm4 structure (PBE, Alexandria).

Calculated values
The total energy is -54.8 eV/cell. The value obtained for the energy of formation from the pure elements is 21 meV/atom. As for the energy above the most stable polymorph in this dataset: 0.55 kcal/mol of atoms.

CIF file:
```
data_Tb7NdTm4
_space_group_name_H-M_alt 'P -3 m 1'
_space_group_IT_number 164
_space_group_name_Hall '-P 3 2"'
_cell_length_a 3.5461
_cell_length_b 3.5461
_cell_length_c 34.6833
_cell_angle_alpha 90.00
_cell_angle_beta 90.00
_cell_angle_gamma 120.00
loop_
_atom_site_label
_atom_site_type_symbol
_atom_site_fract_x
_atom_site_fract_y
_atom_site_fract_z
Tb1 Tb 0.0000 0.0000 0.0000
Tb2 Tb 0.0000 0.0000 0.2490
Tb3 Tb 0.3333 0.6667 0.1649
Tb4 Tb 0.3333 0.6667 0.4138
Nd1 Nd 0.0000 0.0000 0.5000
Tm1 Tm 0.3333 0.6667 0.6685
Tm2 Tm 0.3333 0.6667 0.9175
```

# PrSm2Pu

A geometry-optimized PrSm2Pu structure (PBE, Alexandria).

Calculated values
The total energy is -84.3 eV/cell. The value obtained for the energy of formation from the pure elements is 114 meV/atom. As for the energy above the most stable polymorph in this dataset: 0.00 kcal/mol of atoms.

CIF file:
```
data_PrSm2Pu
_space_group_name_H-M_alt 'R 3 m'
_space_group_IT_number 160
_space_group_name_Hall 'R 3 -2"'
_cell_length_a 3.6170
_cell_length_b 3.6170
_cell_length_c 34.9398
_cell_angle_alpha 90.00
_cell_angle_beta 90.00
_cell_angle_gamma 120.00
loop_
_atom_site_label
_atom_site_type_symbol
_atom_site_fract_x
_atom_site_fract_y
_atom_site_fract_z
Pr1 Pr 0.0000 0.0000 0.0000
Sm1 Sm 0.0000 0.0000 0.4195
Sm2 Sm 0.0000 0.0000 0.5802
Pu1 Pu 0.0000 0.0000 0.1663
```

# CsK2Cd2

A geometry-optimized CsK2Cd2 structure (PBE, Alexandria).

Calculated values
The total energy is -9.9 eV/cell. The value obtained for the energy of formation from the pure elements is -19 meV/atom. As for the energy above the most stable polymorph in this dataset: 0.58 kcal/mol of atoms.

CIF file:
```
data_CsK2Cd2
_space_group_name_H-M_alt 'P 4/m b m'
_space_group_IT_number 127
_space_group_name_Hall '-P 4 2ab'
_cell_length_a 9.8430
_cell_length_b 9.8430
_cell_length_c 5.2113
_cell_angle_alpha 90.00
_cell_angle_beta 90.00
_cell_angle_gamma 90.00
loop_
_atom_site_label
_atom_site_type_symbol
_atom_site_fract_x
_atom_site_fract_y
_atom_site_fract_z
Cs1 Cs 0.0000 0.0000 0.0000
K1 K 0.1680 0.3320 0.5000
Cd1 Cd 0.1067 0.6067 0.0000
```

# Nd4IrPt2

A geometry-optimized Nd4IrPt2 structure (PBE, Alexandria).

Calculated values
The total energy is -91.6 eV/cell. The value obtained for the energy of formation from the pure elements is -826 meV/atom. As for the energy above the most stable polymorph in this dataset: 0.00 kcal/mol of atoms.

CIF file:
```
data_Nd4IrPt2
_space_group_name_H-M_alt 'C 1 2/m 1'
_space_group_IT_number 12
_space_group_name_Hall '-C 2y'
_cell_length_a 14.4358
_cell_length_b 4.5316
_cell_length_c 6.1209
_cell_angle_alpha 90.00
_cell_angle_beta 106.83
_cell_angle_gamma 90.00
loop_
_atom_site_label
_atom_site_type_symbol
_atom_site_fract_x
_atom_site_fract_y
_atom_site_fract_z
Nd1 Nd 0.0893 0.0000 0.2802
Nd2 Nd 0.1566 0.5000 0.7997
Ir1 Ir 0.0000 0.5000 0.0000
Pt1 Pt 0.2298 0.5000 0.3128
```

# NaPaAs2

A geometry-optimized NaPaAs2 structure (PBE, Alexandria).

Calculated values
The total energy is -69.4 eV/cell. The value obtained for the energy of formation from the pure elements is -753 meV/atom. As for the energy above the most stable polymorph in this dataset: 0.76 kcal/mol of atoms.

CIF file:
```
data_NaPaAs2
_space_group_name_H-M_alt 'R 3 m'
_space_group_IT_number 160
_space_group_name_Hall 'R 3 -2"'
_cell_length_a 4.2174
_cell_length_b 4.2174
_cell_length_c 21.1822
_cell_angle_alpha 90.00
_cell_angle_beta 90.00
_cell_angle_gamma 120.00
loop_
_atom_site_label
_atom_site_type_symbol
_atom_site_fract_x
_atom_site_fract_y
_atom_site_fract_z
Na1 Na 0.0000 0.0000 0.0000
Pa1 Pa 0.0000 0.0000 0.1735
As1 As 0.0000 0.0000 0.5767
As2 As 0.0000 0.0000 0.7694
```

# HfTeMo2H

A geometry-optimized HfTeMo2H structure (PBE, Alexandria).

Calculated values
The total energy is -36.8 eV/cell.

CIF file:
```
data_HfTeMo2H
_space_group_name_H-M_alt 'P 4/m m m'
_space_group_IT_number 123
_space_group_name_Hall '-P 4 2'
_cell_length_a 3.9673
_cell_length_b 3.9673
_cell_length_c 4.9691
_cell_angle_alpha 90.00
_cell_angle_beta 90.00
_cell_angle_gamma 90.00
loop_
_atom_site_label
_atom_site_type_symbol
_atom_site_fract_x
_atom_site_fract_y
_atom_site_fract_z
Hf1 Hf 0.0000 0.0000 0.0000
Te1 Te 0.5000 0.5000 0.0000
Mo1 Mo 0.0000 0.5000 0.5000
H1 H 0.5000 0.5000 0.5000
```

Among the records above, which one has the lowest total energy? Nb2CrTe

Which value of total energy does entry 2 give? -124.2 eV/cell